Model a:
{"formula": "SiAgN2F", "functional": "PBE", "state": "relaxed", "cell": [[4.070, 0.000, 0.000], [0.000, 4.070, 0.000], [0.000, 0.000, 4.350]], "species": ["Si", "Ag", "N", "N", "F"], "fractional_positions": [[0.000, 0.000, 0.000], [0.500, 0.500, 0.500], [0.000, 0.500, 0.500], [0.500, 0.000, 0.500], [0.500, 0.500, 0.000]], "total_magnetization_mub_per_cell": 2.1, "dos_ef_per_ev_fu": 2.137}

Model b:
{"formula": "SiAgN2F", "functional": "PBE", "state": "relaxed", "cell": [[3.617, 0.000, 0.000], [0.000, 3.617, 0.000], [0.000, 0.000, 3.895]], "species": ["Si", "Ag", "N", "N", "F"], "fractional_positions": [[0.000, 0.000, 0.000], [0.500, 0.500, 0.500], [0.000, 0.500, 0.000], [0.500, 0.000, 0.000], [0.000, 0.000, 0.500]], "total_magnetization_mub_per_cell": 0.0, "dos_ef_per_ev_fu": 2.094}

Q: Which of them is the least stable? A: model a.

Model a:
{"formula": "SrAgN2F", "functional": "PBE", "state": "relaxed", "cell": [[4.044, 0.000, 0.000], [0.000, 4.044, 0.000], [0.000, 0.000, 4.874]], "species": ["Sr", "Ag", "N", "N", "F"], "fractional_positions": [[0.000, 0.000, 0.000], [0.500, 0.500, 0.500], [0.000, 0.500, 0.500], [0.500, 0.000, 0.500], [0.500, 0.500, 0.000]], "total_magnetization_mub_per_cell": 2.2, "dos_ef_per_ev_fu": 1.887}

Model b:
{"formula": "SrAgN2F", "functional": "PBE", "state": "relaxed", "cell": [[5.059, 0.000, 0.000], [0.000, 5.059, 0.000], [0.000, 0.000, 4.572]], "species": ["Sr", "Ag", "N", "N", "F"], "fractional_positions": [[0.000, 0.000, 0.000], [0.500, 0.500, 0.500], [0.000, 0.500, 0.000], [0.500, 0.000, 0.000], [0.000, 0.000, 0.500]], "total_magnetization_mub_per_cell": 4.0, "dos_ef_per_ev_fu": 1.167}

Q: Which of them is the least stable? A: model b.

Model a:
{"formula": "TlAgNF2", "functional": "PBE", "state": "relaxed", "cell": [[4.649, 0.000, 0.000], [0.000, 4.649, 0.000], [0.000, 0.000, 4.103]], "species": ["Tl", "Ag", "N", "F", "F"], "fractional_positions": [[0.000, 0.000, 0.000], [0.500, 0.500, 0.500], [0.500, 0.500, 0.000], [0.000, 0.500, 0.500], [0.500, 0.000, 0.500]], "total_magnetization_mub_per_cell": 2.2, "dos_ef_per_ev_fu": 0.930}

Model b:
{"formula": "TlAgNF2", "functional": "PBE", "state": "relaxed", "cell": [[4.594, 0.000, 0.000], [0.000, 4.594, 0.000], [0.000, 0.000, 4.205]], "species": ["Tl", "Ag", "N", "F", "F"], "fractional_positions": [[0.000, 0.000, 0.000], [0.500, 0.500, 0.500], [0.000, 0.000, 0.500], [0.000, 0.500, 0.000], [0.500, 0.000, 0.000]], "total_magnetization_mub_per_cell": 1.0, "dos_ef_per_ev_fu": 1.794}

Q: Which of them is the least stable? A: model b.